1.
Material: Tl2BiS3
Method: DFT, PBE
State: relaxed

Cell lengths 4.1615, 5.8247, 13.1944 Å; angles 90.00, 90.00, 90.00 degrees
With the nearest neighbours (Å) after each atom.
Space group Immm (No. 71)
Symmetry-distinct sites (fractional):
Tl 0.0000 0.0000 0.1652  6 S 2.92-3.23
Bi 0.0000 0.0000 0.5000  6 S 2.85-2.91
S 0.0000 0.5000 0.1475  2 Bi 2.85, 2 Tl 2.92
S 0.0000 0.5000 0.5000  2 Bi 2.91, 4 Tl 3.01

Values from the calculation:
* formation energy without anion corrections: -166 kJ/mol of formula units
* E_tot: -3.7852 eV per atom
* volume: 26.65 A^3/atom

2.
Material: CdIn4Te
Method: DFT, PBE
State: relaxed

Cell lengths 8.9135, 8.9135, 8.9135 Å; angles 90.00, 90.00, 90.00 degrees
With the nearest neighbours (Å) after each atom.
Space group F-43m (No. 216)
Symmetry-distinct sites (fractional):
Cd 0.0000 0.0000 0.0000  12 In 3.70, 4 Te 3.86
In 0.1250 0.1250 0.6250  6 In 3.15
Te 0.2500 0.2500 0.2500  12 In 3.70, 4 Cd 3.86

Values from the calculation:
* formation energy without anion corrections: 68 kJ/mol of formula units
* E_tot: -2.3851 eV per atom
* volume: 29.51 A^3/atom